Record 1
PBE ScCrAu, relaxed; space group = F-43m, No. 216; energy of formation = 70 meV/atom; N(E_F) = 2.93 states/eV/f.u.
1.0
-3.3011 -3.0975 -0.1167
0.5948 -4.0192 1.9994
-2.2892 -1.0125 3.7735
Au Cr Sc
1 1 1
Direct
0.7500 0.7500 0.7500
0.0000 0.0000 0.0000
0.5000 0.5000 0.5000

=====

Record 2
PBE LaTc2Pb, relaxed; space group = F-43m, No. 216; energy of formation = 619 meV/atom; N(E_F) = 5.08 states/eV/f.u.
1.0
4.9324 0.0000 0.0000
2.4662 4.2716 0.0000
2.4662 1.4239 4.0273
La Pb Tc
1 1 2
Direct
0.5000 0.5000 0.5000
0.7500 0.7500 0.7500
0.0000 0.0000 0.0000
0.2500 0.2500 0.2500

=====

Record 3
PBE CeMg2Ag3, relaxed; space group = P4/mmm, No. 123; energy of formation = -185 meV/atom; N(E_F) = 7.58 states/eV/f.u.
1.0
3.3369 0.0000 0.0000
0.0000 3.3369 0.0000
0.0000 0.0000 11.0477
Ce Mg Ag
1 2 3
Direct
0.5000 0.5000 0.5000
0.5000 0.5000 0.8487
0.5000 0.5000 0.1513
0.0000 0.0000 0.0000
0.0000 0.0000 0.7028
0.0000 0.0000 0.2972

=====

Record 4
PBE Sm3Tl2Pb, relaxed; space group = Cmmm, No. 65; energy of formation = -420 meV/atom; N(E_F) = 4.47 states/eV/f.u.
1.0
4.3616 0.0000 0.0000
0.0000 5.1588 0.0000
0.0000 0.0000 15.4581
Sm Tl Pb
6 4 2
Direct
0.5001 0.5000 0.6660
0.5007 0.0000 0.5000
0.5001 0.5000 0.3340
0.4999 0.0000 0.1660
0.4993 0.5000 0.0000
0.4999 0.0000 0.8340
0.0002 0.0000 0.6698
0.0002 0.0000 0.3302
0.9998 0.5000 0.1698
0.9998 0.5000 0.8302
0.0004 0.5000 0.5000
0.9996 0.0000 0.0000

=====

Record 5
PBE Li2BCl, relaxed; energy = -23.702 eV for the cell shown; space group = I-42d, No. 122; N(E_F) = 0.53 states/eV/f.u.
1.0
6.3610 0.0000 0.0000
0.0000 6.3610 0.0000
3.1805 3.1805 3.1760
B Li Cl
2 4 2
Direct
0.5000 0.5000 0.0000
0.2500 0.7500 0.5000
0.6348 0.1250 0.2500
0.1152 0.6250 0.2500
0.3750 0.3652 0.7500
0.8750 0.8848 0.7500
0.0000 0.0000 0.0000
0.7500 0.2500 0.5000

=====

Record 6
PBE La2Pd2I, relaxed; energy = -52.988 eV for the cell shown; space group = Imma, No. 74; N(E_F) = 2.40 states/eV/f.u.
1.0
0.0228 3.1649 -3.2421
7.4547 -1.2425 -1.1606
-5.6880 -7.0734 -3.7790
La Pd I
4 4 2
Direct
0.3441 0.8443 0.6885
0.3444 0.3443 0.6885
0.6559 0.1557 0.3115
0.6556 0.6557 0.3115
0.2018 0.9525 0.4054
0.7964 0.5475 0.5946
0.7982 0.0475 0.5946
0.2036 0.4525 0.4054
0.3062 0.7500 0.0000
0.6938 0.2500 0.0000

=====

Record 7
PBE Co2PbBrCl, relaxed; energy = -18.053 eV for the cell shown; space group = P4/mmm, No. 123; N(E_F) = 8.11 states/eV/f.u.
1.0
-3.3557 -2.2807 -1.6480
1.4614 -4.9778 3.9132
-2.6358 1.6502 3.0835
Pb Co Br Cl
1 2 1 1
Direct
0.0000 0.5000 0.0000
0.0000 0.0000 0.5000
0.5000 0.0000 0.0000
0.0000 0.0000 0.0000
0.5000 0.5000 0.5000

=====

Record 8
PBE Tb2MgGe4Ir3, relaxed; space group = P-4m2, No. 115; energy of formation = -679 meV/atom; N(E_F) = 4.14 states/eV/f.u.
1.0
-3.1585 0.7293 2.7067
-0.3716 -4.1506 0.6848
6.9246 0.6830 7.8965
Tb Mg Ge Ir
2 1 4 3
Direct
0.5000 0.0000 0.2365
0.0000 0.5000 0.7635
0.5000 0.5000 0.5000
0.5000 0.5000 0.0000
0.0000 0.0000 0.0000
0.5000 0.0000 0.6455
0.0000 0.5000 0.3545
0.0000 0.0000 0.5000
0.5000 0.0000 0.8759
0.0000 0.5000 0.1241